# YCdPb2

A relaxed YCdPb2 crystal (PBE, Alexandria).

Calculated values
Total DFT energy (no corrections) = -3.7793 eV per atom
ΔH_f (0 K) = -0.32 eV per formula unit
V = 29.1 Å³ per atom
SG = No. 122

Cell: 8.4015 8.4015 6.7969 Å, 51.83 51.83 90.00°
Element x y z (fractional)
Pb1 0.6509 0.1250 0.2500
Pb2 0.0991 0.6250 0.2500
Pb3 0.3750 0.3491 0.7500
Pb4 0.8750 0.9009 0.7500
Y1 0.5000 0.5000 0.0000
Y2 0.2500 0.7500 0.5000
Cd1 0.0000 0.0000 0.0000
Cd2 0.7500 0.2500 0.5000



# Y2Cd2Pb

A relaxed Y2Cd2Pb crystal (PBE, Alexandria).

Calculated values
Total DFT energy (no corrections) = -3.8592 eV per atom
ΔH_f (0 K) = -0.83 eV per formula unit
V = 28.6 Å³ per atom
SG = No. 127

Cell: 8.4932 8.4932 3.9622 Å, 90.00 90.00 90.00°
Element x y z (fractional)
Pb1 0.0000 0.0000 0.0000
Pb2 0.5000 0.5000 0.0000
Y1 0.3406 0.8406 0.0000
Y2 0.8406 0.6594 0.0000
Y3 0.6594 0.1594 0.0000
Y4 0.1594 0.3406 0.0000
Cd1 0.1380 0.6380 0.5000
Cd2 0.6380 0.8620 0.5000
Cd3 0.8620 0.3620 0.5000
Cd4 0.3620 0.1380 0.5000



# YCdPb3

A relaxed YCdPb3 crystal (PBE, Alexandria).

Calculated values
Total DFT energy (no corrections) = -3.2550 eV per atom
ΔH_f (0 K) = 2.23 eV per formula unit
V = 41.7 Å³ per atom
SG = No. 221

Cell: 5.9290 5.9290 5.9290 Å, 90.00 90.00 90.00°
Element x y z (fractional)
Pb1 0.0000 0.5000 0.0000
Pb2 0.0000 0.0000 0.5000
Pb3 0.5000 0.0000 0.0000
Y1 0.0000 0.0000 0.0000
Cd1 0.5000 0.5000 0.5000



no.,theoretical density (kg/m³)
1,8773
2,7086
3,6556